Entry 1:
{
  "formula": "TiMn2Bi",
  "functional": "PBE-GGA",
  "state": "relaxed",
  "final_energy_ev_per_atom": -6.9900,
  "n_ef_per_ev_atom": 1.013,
  "formation_energy_kj_per_mol_atoms": 52.0,
  "volume_a3_per_atom": 19.5,
  "magnetic_moment_mub_per_cell": 12.18,
  "cell": [[-3.867, 1.115, -0.132], [-0.961, -3.534, -1.674], [-3.795, -4.969, 7.824]],
  "species": ["Ti", "Bi", "Bi", "Mn", "Mn", "Ti", "Mn", "Mn"],
  "fractional_positions": [[0.500, 0.500, 0.000], [0.000, 0.000, 0.000], [0.750, 0.250, 0.500], [0.875, 0.860, 0.750], [0.610, 0.125, 0.250], [0.250, 0.750, 0.500], [0.375, 0.390, 0.750], [0.140, 0.625, 0.250]]
}

Entry 2:
{
  "formula": "In3RhCl",
  "functional": "PBE-GGA",
  "state": "relaxed",
  "polymorph_energy_ev_per_atom": 0.000,
  "final_energy_ev_per_atom": -3.9669,
  "n_ef_per_ev_atom": 0.388,
  "volume_a3_per_atom": 27.8,
  "raw_formation_energy_mev_per_atom": -484,
  "magnetic_moment_mub_per_cell": 0.00,
  "cell": [[-4.658, 2.019, -1.017], [-1.777, -4.711, -1.210], [-1.397, -0.740, 4.931]],
  "species": ["In", "Cl", "In", "In", "Rh"],
  "fractional_positions": [[0.500, 0.000, 0.000], [0.500, 0.500, 0.500], [0.000, 0.000, 0.500], [0.000, 0.500, 0.000], [0.000, 0.000, 0.000]]
}